{
  "formula": "Ba3SI",
  "functional": "GGA-PBE",
  "state": "relaxed",
  "e_form_raw_ev_per_atom": -0.319,
  "total_energy_ry_per_atom": -0.192,
  "lattice": [[6.414, 0.000, 0.000], [0.000, 6.414, 0.000], [0.000, 0.000, 6.414]],
  "species": ["I", "Ba", "Ba", "Ba", "S"],
  "fractional_positions": [[0.000, 0.000, 0.000], [0.500, 0.000, 0.000], [0.000, 0.000, 0.500], [0.000, 0.500, 0.000], [0.500, 0.500, 0.500]]
}